1.
Here is a relaxed BaGdPO crystal from OQMD. Energies are from PBE-GGA.

Properties
* electronic total energy: -23.06 eV/f.u.
* crystal system: tetragonal

Cell: 4.5026 4.5026 9.2727 Å, 90.00 90.00 90.00°
With the nearest neighbours (Å) after each atom.
Fractional positions:
Ba (0.2500, 0.7500, 0.0000)  4 P 3.08, 4 Ba 3.18
Ba (0.7500, 0.2500, 0.0000)  4 P 3.08, 4 Ba 3.18
Gd (0.2500, 0.2500, 0.4216)  4 O 2.37
Gd (0.7500, 0.7500, 0.5784)  4 O 2.37
P (0.2500, 0.2500, 0.7727)  4 Ba 3.08, 1 Gd 3.26, 4 O 3.39
P (0.7500, 0.7500, 0.2273)  4 Ba 3.08, 1 Gd 3.26, 4 O 3.39
O (0.2500, 0.7500, 0.5000)  4 Gd 2.37
O (0.7500, 0.2500, 0.5000)  4 Gd 2.37



2.
Here is a relaxed Ni3Sn2 crystal from OQMD. Energies are from PBE-GGA.

Properties
* electronic total energy: -26.09 eV/f.u.
* crystal system: orthorhombic

Cell: 7.1348 5.2164 8.1929 Å, 90.00 90.00 90.00°
With the nearest neighbours (Å) after each atom.
Fractional positions:
Ni (0.0908, 0.2500, 0.1267)  5 Sn 2.50-2.61, 6 Ni 2.65-2.71
Ni (0.2354, 0.5046, 0.8761)  5 Ni 2.56-2.71, 5 Sn 2.62-2.72
Ni (0.2354, 0.9954, 0.8761)  5 Ni 2.56-2.71, 5 Sn 2.62-2.72
Ni (0.2646, 0.0046, 0.3761)  5 Ni 2.56-2.71, 5 Sn 2.62-2.72
Ni (0.2646, 0.4954, 0.3761)  5 Ni 2.56-2.71, 5 Sn 2.62-2.72
Ni (0.4092, 0.7500, 0.6267)  5 Sn 2.50-2.61, 6 Ni 2.65-2.71
Ni (0.5908, 0.2500, 0.3733)  5 Sn 2.50-2.61, 6 Ni 2.65-2.71
Ni (0.7354, 0.5046, 0.6239)  5 Ni 2.56-2.71, 5 Sn 2.62-2.72
Ni (0.7354, 0.9954, 0.6239)  5 Ni 2.56-2.71, 5 Sn 2.62-2.72
Ni (0.7646, 0.0046, 0.1239)  5 Ni 2.56-2.71, 5 Sn 2.62-2.72
Ni (0.7646, 0.4954, 0.1239)  5 Ni 2.56-2.71, 5 Sn 2.62-2.72
Ni (0.9092, 0.7500, 0.8733)  5 Sn 2.50-2.61, 6 Ni 2.65-2.71
Sn (0.0604, 0.7500, 0.5958)  6 Ni 2.50-2.67
Sn (0.0969, 0.7500, 0.1422)  9 Ni 2.58-2.72
Sn (0.4031, 0.2500, 0.6422)  9 Ni 2.58-2.72
Sn (0.4396, 0.2500, 0.0958)  6 Ni 2.50-2.67
Sn (0.5604, 0.7500, 0.9042)  6 Ni 2.50-2.67
Sn (0.5969, 0.7500, 0.3578)  9 Ni 2.58-2.72
Sn (0.9031, 0.2500, 0.8578)  9 Ni 2.58-2.72
Sn (0.9396, 0.2500, 0.4042)  6 Ni 2.50-2.67



3.
Here is a relaxed RbBaDySe3 crystal from OQMD. Energies are from PBE-GGA.

Properties
* electronic total energy: -27.21 eV/f.u.
* crystal system: orthorhombic

Cell: 10.1806 10.1806 12.4233 Å, 90.00 90.00 155.41°
With the nearest neighbours (Å) after each atom.
Fractional positions:
Rb (0.1325, 0.8675, 0.7500)  4 Se 3.21-3.39
Rb (0.8675, 0.1325, 0.2500)  4 Se 3.21-3.39
Ba (0.1088, 0.8912, 0.2500)  4 Se 3.08-3.09
Ba (0.8912, 0.1088, 0.7500)  4 Se 3.08-3.09
Dy (0.5000, 0.5000, 0.0000)  6 Se 2.90-3.11
Dy (0.5000, 0.5000, 0.5000)  6 Se 2.90-3.11
Se (0.0970, 0.9030, 0.0023)  2 Dy 2.90, 1 Ba 3.09, 1 Rb 3.21
Se (0.0970, 0.9030, 0.4977)  2 Dy 2.90, 1 Ba 3.09, 1 Rb 3.21
Se (0.4984, 0.5016, 0.2500)  2 Ba 3.08, 2 Dy 3.11, 2 Rb 3.39
Se (0.5016, 0.4984, 0.7500)  2 Ba 3.08, 2 Dy 3.11, 2 Rb 3.39
Se (0.9030, 0.0970, 0.5023)  2 Dy 2.90, 1 Ba 3.09, 1 Rb 3.21
Se (0.9030, 0.0970, 0.9977)  2 Dy 2.90, 1 Ba 3.09, 1 Rb 3.21



What is the electronic total energy in the first record? -23.06 eV/f.u.